A plane-wave DFT calculation with PBE with a Hubbard U was carried out for an optimized crystal structure of LiCo3NiO8.

Computed properties:
Space group: No. 166
Excess energy over the best structure of this formula in the dataset in meV per atom: 8
D(E_F) in states/eV per cell: 2.35
Mass density in kg/m³: 4377
Calculated total energy in eV/atom: -5.456

Unit cell a=5.9774 b=5.9774 c=5.9774 alpha=56.99 beta=56.99 gamma=56.99
Element x y z (fractional)
Li (0.0000, 0.0000, 0.0000)
Co (0.0000, 0.0000, 0.5000)
Co (0.0000, 0.5000, 0.0000)
Co (0.5000, 0.0000, 0.0000)
Ni (0.5000, 0.5000, 0.5000)
O (0.2147, 0.7408, 0.7408)
O (0.2306, 0.2306, 0.2306)
O (0.2592, 0.2592, 0.7853)
O (0.2592, 0.7853, 0.2592)
O (0.7408, 0.2147, 0.7408)
O (0.7408, 0.7408, 0.2147)
O (0.7694, 0.7694, 0.7694)
O (0.7853, 0.2592, 0.2592)